# Mg2ZnPb (PBE, relaxed)
# N(E_F) = 2.0 states/eV/f.u.
# symmetry = No. 122
# formation enthalpy at 0 K = 0.1421 eV/atom
data_Mg2ZnPb
_chemical_formula_sum 'Mg4 Zn2 Pb2'
_symmetry_space_group_name_H-M 'P 1'
_symmetry_Int_Tables_number 1
_cell_length_a 4.430
_cell_length_b 4.430
_cell_length_c 10.464
_cell_angle_alpha 77.78
_cell_angle_beta 77.78
_cell_angle_gamma 90.00
loop_
_symmetry_equiv_pos_as_xyz
'x,y,z'
loop_
_atom_site_label
_atom_site_type_symbol
_atom_site_fract_x
_atom_site_fract_y
_atom_site_fract_z
_atom_site_occupancy
Pb1 Pb 0.000 0.000 0.000 1
Pb2 Pb 0.750 0.250 0.500 1
Zn1 Zn 0.500 0.500 0.000 1
Zn2 Zn 0.250 0.750 0.500 1
Mg1 Mg 0.604 0.125 0.250 1
Mg2 Mg 0.146 0.625 0.250 1
Mg3 Mg 0.375 0.396 0.750 1
Mg4 Mg 0.875 0.854 0.750 1

# DyTlBi2O4 (PBE, relaxed)
# raw formation energy = -1.641 eV per atom
# N(E_F) = 2.8 states/eV/f.u.
# symmetry = No. 123
data_DyTlBi2O4
_chemical_formula_sum 'Dy1 Tl1 Bi2 O4'
_symmetry_space_group_name_H-M 'P 1'
_symmetry_Int_Tables_number 1
_cell_length_a 3.910
_cell_length_b 3.910
_cell_length_c 10.526
_cell_angle_alpha 90.00
_cell_angle_beta 90.00
_cell_angle_gamma 90.00
loop_
_symmetry_equiv_pos_as_xyz
'x,y,z'
loop_
_atom_site_label
_atom_site_type_symbol
_atom_site_fract_x
_atom_site_fract_y
_atom_site_fract_z
_atom_site_occupancy
Dy1 Dy 0.000 0.000 0.000 1
Tl1 Tl 0.000 0.000 0.500 1
Bi1 Bi 0.500 0.500 0.239 1
Bi2 Bi 0.500 0.500 0.761 1
O1 O 0.000 0.500 0.131 1
O2 O 0.500 0.000 0.869 1
O3 O 0.500 0.000 0.131 1
O4 O 0.000 0.500 0.869 1

# Dy12SnPd6 (PBE, relaxed)
# energy above the lowest structure with this stoichiometry = 0.0 meV per atom
# N(E_F) = 17.4 states/eV/f.u.
# symmetry = No. 204
# formation enthalpy at 0 K = -0.6535 eV/atom
data_Dy12SnPd6
_chemical_formula_sum 'Dy12 Sn1 Pd6'
_symmetry_space_group_name_H-M 'P 1'
_symmetry_Int_Tables_number 1
_cell_length_a 8.628
_cell_length_b 8.628
_cell_length_c 8.628
_cell_angle_alpha 109.47
_cell_angle_beta 109.47
_cell_angle_gamma 109.47
loop_
_symmetry_equiv_pos_as_xyz
'x,y,z'
loop_
_atom_site_label
_atom_site_type_symbol
_atom_site_fract_x
_atom_site_fract_y
_atom_site_fract_z
_atom_site_occupancy
Dy1 Dy 0.297 0.113 0.816 1
Dy2 Dy 0.297 0.482 0.184 1
Dy3 Dy 0.703 0.518 0.816 1
Dy4 Dy 0.703 0.887 0.184 1
Dy5 Dy 0.113 0.816 0.297 1
Dy6 Dy 0.482 0.184 0.297 1
Dy7 Dy 0.518 0.816 0.703 1
Dy8 Dy 0.887 0.184 0.703 1
Dy9 Dy 0.816 0.297 0.113 1
Dy10 Dy 0.184 0.297 0.482 1
Dy11 Dy 0.816 0.703 0.518 1
Dy12 Dy 0.184 0.703 0.887 1
Sn1 Sn 0.000 0.000 0.000 1
Pd1 Pd 0.363 0.500 0.863 1
Pd2 Pd 0.637 0.500 0.137 1
Pd3 Pd 0.500 0.863 0.363 1
Pd4 Pd 0.500 0.137 0.637 1
Pd5 Pd 0.863 0.363 0.500 1
Pd6 Pd 0.137 0.637 0.500 1

# Ir4RuRh5 (PBE, relaxed)
# N(E_F) = 10.1 states/eV/f.u.
# symmetry = No. 123
# formation enthalpy at 0 K = 0.0062 eV/atom
data_Ir4RuRh5
_chemical_formula_sum 'Ir4 Ru1 Rh5'
_symmetry_space_group_name_H-M 'P 1'
_symmetry_Int_Tables_number 1
_cell_length_a 2.720
_cell_length_b 2.720
_cell_length_c 19.290
_cell_angle_alpha 90.00
_cell_angle_beta 90.00
_cell_angle_gamma 90.00
loop_
_symmetry_equiv_pos_as_xyz
'x,y,z'
loop_
_atom_site_label
_atom_site_type_symbol
_atom_site_fract_x
_atom_site_fract_y
_atom_site_fract_z
_atom_site_occupancy
Ir1 Ir 0.000 0.000 0.200 1
Ir2 Ir 0.000 0.000 0.400 1
Ir3 Ir 0.000 0.000 0.600 1
Ir4 Ir 0.000 0.000 0.800 1
Ru1 Ru 0.000 0.000 0.000 1
Rh1 Rh 0.500 0.500 0.098 1
Rh2 Rh 0.500 0.500 0.300 1
Rh3 Rh 0.500 0.500 0.500 1
Rh4 Rh 0.500 0.500 0.700 1
Rh5 Rh 0.500 0.500 0.902 1

# CeRh2Pb2 (PBE, relaxed)
# N(E_F) = 5.2 states/eV/f.u.
# symmetry = No. 12
# formation enthalpy at 0 K = -0.3791 eV/atom
data_CeRh2Pb2
_chemical_formula_sum 'Ce1 Rh2 Pb2'
_symmetry_space_group_name_H-M 'P 1'
_symmetry_Int_Tables_number 1
_cell_length_a 4.739
_cell_length_b 4.739
_cell_length_c 5.958
_cell_angle_alpha 89.93
_cell_angle_beta 89.93
_cell_angle_gamma 59.97
loop_
_symmetry_equiv_pos_as_xyz
'x,y,z'
loop_
_atom_site_label
_atom_site_type_symbol
_atom_site_fract_x
_atom_site_fract_y
_atom_site_fract_z
_atom_site_occupancy
Ce1 Ce 0.500 0.000 0.000 1
Rh1 Rh 0.835 0.335 0.157 1
Rh2 Rh 0.165 0.665 0.843 1
Pb1 Pb 0.833 0.333 0.651 1
Pb2 Pb 0.167 0.667 0.349 1

# PmPu2Ge2Pt7 (PBE, relaxed)
# N(E_F) = 28.1 states/eV/f.u.
# symmetry = No. 12
# formation enthalpy at 0 K = -0.7776 eV/atom
data_PmPu2Ge2Pt7
_chemical_formula_sum 'Pm1 Pu2 Ge2 Pt7'
_symmetry_space_group_name_H-M 'P 1'
_symmetry_Int_Tables_number 1
_cell_length_a 4.102
_cell_length_b 4.102
_cell_length_c 14.256
_cell_angle_alpha 84.02
_cell_angle_beta 84.02
_cell_angle_gamma 89.20
loop_
_symmetry_equiv_pos_as_xyz
'x,y,z'
loop_
_atom_site_label
_atom_site_type_symbol
_atom_site_fract_x
_atom_site_fract_y
_atom_site_fract_z
_atom_site_occupancy
Pm1 Pm 0.000 0.000 0.000 1
Pu1 Pu 0.889 0.889 0.367 1
Pu2 Pu 0.111 0.111 0.633 1
Ge1 Ge 0.593 0.593 0.744 1
Ge2 Ge 0.407 0.407 0.256 1
Pt1 Pt 0.500 0.500 0.000 1
Pt2 Pt 0.375 0.375 0.429 1
Pt3 Pt 0.625 0.625 0.571 1
Pt4 Pt 0.943 0.444 0.157 1
Pt5 Pt 0.444 0.943 0.157 1
Pt6 Pt 0.556 0.057 0.843 1
Pt7 Pt 0.057 0.556 0.843 1

# ErCd2Ag4 (PBE, relaxed)
# N(E_F) = 2.2 states/eV/f.u.
# symmetry = No. 44
# formation enthalpy at 0 K = 0.0122 eV/atom
data_ErCd2Ag4
_chemical_formula_sum 'Er1 Cd2 Ag4'
_symmetry_space_group_name_H-M 'P 1'
_symmetry_Int_Tables_number 1
_cell_length_a 5.792
_cell_length_b 5.943
_cell_length_c 5.944
_cell_angle_alpha 73.11
_cell_angle_beta 60.83
_cell_angle_gamma 60.85
loop_
_symmetry_equiv_pos_as_xyz
'x,y,z'
loop_
_atom_site_label
_atom_site_type_symbol
_atom_site_fract_x
_atom_site_fract_y
_atom_site_fract_z
_atom_site_occupancy
Er1 Er 0.952 0.048 0.048 1
Cd1 Cd 0.048 0.452 0.452 1
Cd2 Cd 0.526 0.474 0.474 1
Ag1 Ag 0.495 0.552 0.960 1
Ag2 Ag 0.992 0.960 0.552 1
Ag3 Ag 0.495 0.960 0.552 1
Ag4 Ag 0.992 0.552 0.960 1

# K2Cd2Te4Pb (PBE, relaxed)
# raw formation energy = -0.668 eV per atom
# symmetry = No. 12
data_K2Cd2Te4Pb
_chemical_formula_sum 'K2 Cd2 Te4 Pb1'
_symmetry_space_group_name_H-M 'P 1'
_symmetry_Int_Tables_number 1
_cell_length_a 4.653
_cell_length_b 8.648
_cell_length_c 8.978
_cell_angle_alpha 109.05
_cell_angle_beta 105.02
_cell_angle_gamma 90.00
loop_
_symmetry_equiv_pos_as_xyz
'x,y,z'
loop_
_atom_site_label
_atom_site_type_symbol
_atom_site_fract_x
_atom_site_fract_y
_atom_site_fract_z
_atom_site_occupancy
K1 K 0.124 0.552 0.247 1
K2 K 0.876 0.448 0.753 1
Cd1 Cd 0.671 0.982 0.342 1
Cd2 Cd 0.329 0.018 0.658 1
Te1 Te 0.207 0.197 0.413 1
Te2 Te 0.793 0.803 0.587 1
Te3 Te 0.515 0.742 0.031 1
Te4 Te 0.485 0.258 0.969 1
Pb1 Pb 0.000 0.000 0.000 1

| no. | calculated total energy (eV per atom) |
| --- | --- |
| 1 | -1.90 |
| 2 | -5.96 |
| 3 | -5.41 |
| 4 | -8.14 |
| 5 | -5.99 |
| 6 | -7.86 |
| 7 | -2.53 |
| 8 | -2.92 |